Record 1
# PmNd3Th2Bi6 (PBE, relaxed)
data_PmNd3Th2Bi6
_chemical_formula_sum 'Pm2 Nd6 Th4 Bi12'
_symmetry_space_group_name_H-M 'C 1 2/m 1'
_symmetry_Int_Tables_number 12
_cell_length_a 20.056
_cell_length_b 4.605
_cell_length_c 9.196
_cell_angle_alpha 90.00
_cell_angle_beta 103.29
_cell_angle_gamma 90.00
loop_
_symmetry_equiv_pos_as_xyz
'x,y,z'
'-x,-y,-z'
'-x,y,-z'
'x,-y,z'
'x+1/2,y+1/2,z'
'-x+1/2,-y+1/2,-z'
'-x+1/2,y+1/2,-z'
'x+1/2,-y+1/2,z'
loop_
_atom_site_label
_atom_site_fract_x
_atom_site_fract_y
_atom_site_fract_z
_atom_site_occupancy
Pm1 0.000 0.000 0.000 1
Nd1 0.000 0.000 0.500 1
Nd2 0.166 0.500 0.834 1
Th1 0.165 0.500 0.331 1
Bi1 0.000 0.500 0.249 1
Bi2 0.166 0.000 0.084 1
Bi3 0.167 0.000 0.583 1
# - Size of the total moment: 0.000 Bohr magnetons per cell
# - VASP energy: -5.598 eV per atom
# - DOS at the Fermi energy: 0.43 states/eV per atom
# - Mass density: 9.2 g cm⁻³

=====

Record 2
# KSi2Sn2 (PBE, relaxed)
data_KSi2Sn2
_chemical_formula_sum 'K2 Si4 Sn4'
_symmetry_space_group_name_H-M 'I 4/m m m'
_symmetry_Int_Tables_number 139
_symmetry_space_group_name_Hall '-I 4 2'
_cell_length_a 5.170
_cell_length_b 5.170
_cell_length_c 9.572
_cell_angle_alpha 90.00
_cell_angle_beta 90.00
_cell_angle_gamma 90.00
loop_
_atom_site_label
_atom_site_fract_x
_atom_site_fract_y
_atom_site_fract_z
_atom_site_occupancy
K1 0.000 0.000 0.000 1
Si1 0.000 0.000 0.373 1
Sn1 0.000 0.500 0.250 1
# - Size of the total moment: 0.000 Bohr magnetons per cell
# - Raw formation energy: 0.094 eV per atom
# - Energy above the most stable polymorph in this dataset: 0.00 eV per formula unit
# - DOS at the Fermi energy: 0.38 states/eV per atom
# - Mass density: 4.3 g cm⁻³

=====

- Which of these has the highest DOS at the Fermi energy?
  PmNd3Th2Bi6